(1)
{"formula": "PrHo14Er", "functional": "PBE-GGA", "state": "optimized geometry", "spacegroup": "Amm2", "energy_ev_per_atom": -4.58, "dos_at_fermi_per_ev_cell": 20.02, "vol_a3_per_atom": 31.2, "cell": [[11.4202, 0.0000, 0.0000], [0.0000, 3.5511, 6.1478], [0.0000, -3.5511, 6.1478]], "species": ["Pr", "Ho", "Ho", "Ho", "Ho", "Ho", "Ho", "Ho", "Ho", "Ho", "Ho", "Ho", "Ho", "Ho", "Ho", "Er"], "frac_coords": [[0.0000, 0.0000, 0.0000], [0.0000, 0.9998, 0.4998], [0.0000, 0.4998, 0.9998], [0.2499, 0.6667, 0.6667], [0.2523, 0.1672, 0.1672], [0.2521, 0.1672, 0.6662], [0.2521, 0.6662, 0.1672], [0.5000, 0.3338, 0.3338], [0.5000, 0.3341, 0.8335], [0.5000, 0.8335, 0.3341], [0.5000, 0.8335, 0.8335], [0.7477, 0.1672, 0.1672], [0.7479, 0.1672, 0.6662], [0.7479, 0.6662, 0.1672], [0.7501, 0.6667, 0.6667], [0.0000, 0.4998, 0.4998]]}

=====

(2)
{"formula": "TaReCl2", "functional": "PBE-GGA", "state": "optimized geometry", "raw_formation_energy_mev_per_atom": 860, "spacegroup": "P4/mmm", "dos_at_fermi_per_ev_cell": 2.61, "vol_a3_per_atom": 19.9, "cell": [[2.8495, 0.0000, 0.0000], [0.0000, 2.8495, 0.0000], [0.0000, 0.0000, 9.7824]], "species": ["Ta", "Re", "Cl", "Cl"], "frac_coords": [[0.0000, 0.0000, 0.0000], [0.0000, 0.0000, 0.5000], [0.5000, 0.5000, 0.1629], [0.5000, 0.5000, 0.8371]]}

=====

(3)
{"formula": "Mg2Zn", "functional": "PBE-GGA", "state": "optimized geometry", "spacegroup": "Fd-3m", "energy_ev_per_atom": -1.54, "dos_at_fermi_per_ev_cell": 11.88, "vol_a3_per_atom": 19.9, "cell": [[0.0000, 6.2070, 6.2070], [6.2070, 0.0000, 6.2070], [6.2070, 6.2070, 0.0000]], "species": ["Mg", "Mg", "Mg", "Mg", "Mg", "Mg", "Mg", "Mg", "Mg", "Mg", "Mg", "Mg", "Mg", "Mg", "Mg", "Mg", "Zn", "Zn", "Zn", "Zn", "Zn", "Zn", "Zn", "Zn"], "frac_coords": [[0.0000, 0.0000, 0.0000], [0.0000, 0.0000, 0.5000], [0.0000, 0.5000, 0.0000], [0.1809, 0.1809, 0.5691], [0.1809, 0.5691, 0.1809], [0.1809, 0.5691, 0.5691], [0.4309, 0.4309, 0.8191], [0.4309, 0.8191, 0.4309], [0.4309, 0.8191, 0.8191], [0.5000, 0.0000, 0.0000], [0.5691, 0.1809, 0.1809], [0.5691, 0.1809, 0.5691], [0.5691, 0.5691, 0.1809], [0.8191, 0.4309, 0.4309], [0.8191, 0.4309, 0.8191], [0.8191, 0.8191, 0.4309], [0.1466, 0.7845, 0.7845], [0.2155, 0.2155, 0.2155], [0.2155, 0.2155, 0.8534], [0.2155, 0.8534, 0.2155], [0.7845, 0.1466, 0.7845], [0.7845, 0.7845, 0.1466], [0.7845, 0.7845, 0.7845], [0.8534, 0.2155, 0.2155]]}

=====

(4)
{"formula": "NbPbI2", "functional": "PBE-GGA", "state": "optimized geometry", "raw_formation_energy_mev_per_atom": 559, "spacegroup": "Fm-3m", "dos_at_fermi_per_ev_cell": 5.19, "vol_a3_per_atom": 26.4, "cell": [[0.0000, 3.7501, 3.7501], [3.7501, 0.0000, 3.7501], [3.7501, 3.7501, 0.0000]], "species": ["Nb", "Pb", "I", "I"], "frac_coords": [[0.0000, 0.0000, 0.0000], [0.5000, 0.5000, 0.5000], [0.2500, 0.2500, 0.2500], [0.7500, 0.7500, 0.7500]]}

=====

(5)
{"formula": "CuSbW2", "functional": "PBE-GGA", "state": "optimized geometry", "raw_formation_energy_mev_per_atom": 731, "spacegroup": "Cmmm", "dos_at_fermi_per_ev_cell": 3.00, "vol_a3_per_atom": 16.6, "cell": [[2.7151, -4.1890, 0.0000], [2.7151, 4.1890, 0.0000], [0.0000, 0.0000, 2.9115]], "species": ["Cu", "Sb", "W", "W"], "frac_coords": [[0.0000, 0.0000, 0.0000], [0.5000, 0.5000, 0.0000], [0.0000, 0.5000, 0.5000], [0.5000, 0.0000, 0.5000]]}

=====

(6)
{"formula": "Tb3Zn2Cd7", "functional": "PBE-GGA", "state": "optimized geometry", "spacegroup": "R-3m", "energy_ev_per_atom": -2.11, "dos_at_fermi_per_ev_cell": 7.27, "vol_a3_per_atom": 23.0, "cell": [[2.9435, 1.6994, 9.1777], [-2.9435, 1.6994, 9.1777], [0.0000, -3.3989, 9.1777]], "species": ["Tb", "Tb", "Tb", "Zn", "Zn", "Cd", "Cd", "Cd", "Cd", "Cd", "Cd", "Cd"], "frac_coords": [[0.0000, 0.0000, 0.0000], [0.1397, 0.1397, 0.1397], [0.8603, 0.8603, 0.8603], [0.3347, 0.3347, 0.3347], [0.6653, 0.6653, 0.6653], [0.0745, 0.5837, 0.5837], [0.4163, 0.4163, 0.9255], [0.4163, 0.9255, 0.4163], [0.5000, 0.5000, 0.5000], [0.5837, 0.0745, 0.5837], [0.5837, 0.5837, 0.0745], [0.9255, 0.4163, 0.4163]]}